Entry 1:
## DyY2Mg3AgHg2 (GGA-PBE)

Data for crystalline DyY2Mg3AgHg2 at its relaxed geometry.

Calculated values
Energy, eV/atom: -3.2292

a = 4.1390 Å, b = 7.7989 Å, c = 7.7989 Å
α = 119.98°, β = 90.00°, γ = 90.00°
Last column: nearest neighbours and their distance in Å.
Fractional positions:
Dy 0.0000 0.0000 0.0000  4 Hg 3.14, 1 Ag 3.19, 6 Mg 3.39-3.47
Y 0.0000 0.4096 0.8192  4 Hg 3.14, 1 Ag 3.19, 6 Mg 3.39-3.47
Y 0.0000 0.8192 0.4096  4 Hg 3.14, 1 Ag 3.19, 6 Mg 3.39-3.47
Mg 0.5000 0.1636 0.4096  2 Ag 2.82, 2 Hg 3.00
Mg 0.5000 0.4096 0.1636  2 Ag 2.82, 2 Hg 3.00
Mg 0.5000 0.6557 0.6557  2 Ag 2.82, 2 Hg 3.00
Ag 0.0000 0.4095 0.4095  6 Mg 2.82
Hg 0.5000 0.0763 0.7431  3 Mg 3.00, 2 Dy 3.14, 4 Y 3.14
Hg 0.5000 0.7431 0.0763  3 Mg 3.00, 2 Dy 3.14, 4 Y 3.14

Entry 2:
## ErThB4 (GGA-PBE)

Data for crystalline ErThB4 at its relaxed geometry.

Calculated values
Offset from the most stable computed form, eV/f.u.: 0.309

a = 5.2162 Å, b = 5.2162 Å, c = 5.2162 Å
α = 143.02°, β = 113.45°, γ = 78.65°
Last column: nearest neighbours and their distance in Å.
Fractional positions:
Er 0.0000 0.0000 0.0000  12 B 2.77-2.79
Th 0.5000 0.5000 0.0000  12 B 2.77-2.79
B 0.0816 0.7482 0.3334  3 B 1.91
B 0.4147 0.7482 0.6666  3 B 1.91
B 0.5853 0.2518 0.3334  3 B 1.91
B 0.9184 0.2518 0.6666  3 B 1.91

Entry 3:
## TlCoNiW (GGA-PBE)

Data for crystalline TlCoNiW at its relaxed geometry.

Calculated values
Offset from the most stable computed form, eV/f.u.: 1.055

a = 4.3799 Å, b = 4.3799 Å, c = 4.3799 Å
α = 60.00°, β = 60.00°, γ = 60.00°
Last column: nearest neighbours and their distance in Å.
Fractional positions:
Tl 0.0000 0.0000 0.0000  4 W 2.68, 4 Co 2.68
Co 0.2500 0.2500 0.2500  4 Tl 2.68, 4 Ni 2.68
Ni 0.5000 0.5000 0.5000  4 W 2.68, 4 Co 2.68
W 0.7500 0.7500 0.7500  4 Tl 2.68, 4 Ni 2.68

Entry 4:
## HfFeTcBi (GGA-PBE)

Data for crystalline HfFeTcBi at its relaxed geometry.

Calculated values
Offset from the most stable computed form, eV/f.u.: 0.000

a = 4.5719 Å, b = 4.5719 Å, c = 4.5719 Å
α = 60.00°, β = 60.00°, γ = 60.00°
Last column: nearest neighbours and their distance in Å.
Fractional positions:
Hf 0.0000 0.0000 0.0000  4 Fe 2.80, 4 Tc 2.80
Fe 0.7500 0.7500 0.7500  4 Hf 2.80, 4 Bi 2.80
Tc 0.2500 0.2500 0.2500  4 Hf 2.80, 4 Bi 2.80
Bi 0.5000 0.5000 0.5000  4 Fe 2.80, 4 Tc 2.80

Entry 5:
## LiMg2Zn (GGA-PBE)

Data for crystalline LiMg2Zn at its relaxed geometry.

Calculated values
Energy, eV/atom: -1.5508

a = 4.5254 Å, b = 4.5254 Å, c = 8.9737 Å
α = 90.00°, β = 90.00°, γ = 120.00°
Last column: nearest neighbours and their distance in Å.
Fractional positions:
Li 0.3333 0.6667 0.2500  3 Zn 2.61
Li 0.6667 0.3333 0.7500  3 Zn 2.61
Mg 0.3333 0.6667 0.5869  4 Mg 2.93-3.04, 3 Zn 2.99, 4 Li 2.99-3.02
Mg 0.3333 0.6667 0.9131  4 Mg 2.93-3.04, 3 Zn 2.99, 4 Li 2.99-3.02
Mg 0.6667 0.3333 0.0869  4 Mg 2.93-3.04, 3 Zn 2.99, 4 Li 2.99-3.02
Mg 0.6667 0.3333 0.4131  4 Mg 2.93-3.04, 3 Zn 2.99, 4 Li 2.99-3.02
Zn 0.0000 0.0000 0.2500  3 Li 2.61
Zn 0.0000 0.0000 0.7500  3 Li 2.61

Entry 6:
## FeSbSe (GGA-PBE)

Data for crystalline FeSbSe at its relaxed geometry.

Calculated values
Energy, eV/atom: -5.5847

a = 6.2380 Å, b = 6.1146 Å, c = 6.2503 Å
α = 90.00°, β = 113.75°, γ = 90.00°
Last column: nearest neighbours and their distance in Å.
Fractional positions:
Fe 0.2090 0.0088 0.2013  3 Se 2.33-2.38, 3 Sb 2.56-2.60
Fe 0.2090 0.4912 0.7013  3 Se 2.33-2.38, 3 Sb 2.56-2.60
Fe 0.7910 0.5088 0.2987  3 Se 2.33-2.38, 3 Sb 2.56-2.60
Fe 0.7910 0.9912 0.7987  3 Se 2.33-2.38, 3 Sb 2.56-2.60
Sb 0.3574 0.6394 0.1247  3 Fe 2.56-2.60, 1 Se 2.76
Sb 0.3574 0.8606 0.6247  3 Fe 2.56-2.60, 1 Se 2.76
Sb 0.6426 0.1394 0.3753  3 Fe 2.56-2.60, 1 Se 2.76
Sb 0.6426 0.3606 0.8753  3 Fe 2.56-2.60, 1 Se 2.76
Se 0.1465 0.1400 0.8282  3 Fe 2.33-2.38
Se 0.1465 0.3600 0.3282  3 Fe 2.33-2.38
Se 0.8535 0.6400 0.6718  3 Fe 2.33-2.38
Se 0.8535 0.8600 0.1718  3 Fe 2.33-2.38

Entry 7:
## Dy2Tc (GGA-PBE)

Data for crystalline Dy2Tc at its relaxed geometry.

Calculated values
Offset from the most stable computed form, eV/f.u.: 2.873
Energy of formation, eV per atom: 1.11

a = 5.8416 Å, b = 5.8416 Å, c = 5.8416 Å
α = 60.00°, β = 60.00°, γ = 60.00°
Last column: nearest neighbours and their distance in Å.
Fractional positions:
Dy 0.0000 0.0000 0.0000  6 Dy 2.92
Dy 0.0000 0.0000 0.5000  6 Dy 2.92
Dy 0.0000 0.5000 0.0000  6 Dy 2.92
Dy 0.5000 0.0000 0.0000  6 Dy 2.92
Tc 0.3750 0.3750 0.3750  12 Dy 3.42, 4 Tc 3.58
Tc 0.6250 0.6250 0.6250  12 Dy 3.42, 4 Tc 3.58

Entry 8:
## YInCuAg (GGA-PBE)

Data for crystalline YInCuAg at its relaxed geometry.

Calculated values
Offset from the most stable computed form, eV/f.u.: 0.000

a = 4.8336 Å, b = 4.8336 Å, c = 4.8336 Å
α = 60.00°, β = 60.00°, γ = 60.00°
Last column: nearest neighbours and their distance in Å.
Fractional positions:
Y 0.0000 0.0000 0.0000  4 Cu 2.96, 4 Ag 2.96
In 0.5000 0.5000 0.5000  4 Cu 2.96, 4 Ag 2.96
Cu 0.7500 0.7500 0.7500  4 In 2.96, 4 Y 2.96
Ag 0.2500 0.2500 0.2500  4 In 2.96, 4 Y 2.96

Entry 9:
## AcNiIr (GGA-PBE)

Data for crystalline AcNiIr at its relaxed geometry.

Calculated values
Offset from the most stable computed form, eV/f.u.: 1.446
Energy of formation, eV per atom: 0.01

a = 4.5492 Å, b = 4.5492 Å, c = 4.5492 Å
α = 60.00°, β = 60.00°, γ = 60.00°
Last column: nearest neighbours and their distance in Å.
Fractional positions:
Ac 0.0000 0.0000 0.0000  4 Ni 2.79
Ni 0.7500 0.7500 0.7500  4 Ac 2.79, 4 Ir 2.79
Ir 0.5000 0.5000 0.5000  4 Ni 2.79

Entry 10:
## Zr4NiGeC2 (GGA-PBE)

Data for crystalline Zr4NiGeC2 at its relaxed geometry.

Calculated values
Energy, eV/atom: -8.4934

a = 3.3325 Å, b = 3.3325 Å, c = 13.3960 Å
α = 90.00°, β = 90.00°, γ = 120.00°
Last column: nearest neighbours and their distance in Å.
Fractional positions:
Zr 0.0000 0.0000 0.1433  3 C 2.35
Zr 0.0000 0.0000 0.8567  3 C 2.35
Zr 0.3333 0.6667 0.3378  3 C 2.30
Zr 0.3333 0.6667 0.6622  3 C 2.30
Ni 0.3333 0.6667 0.0000  6 Zr 2.72
Ge 0.0000 0.0000 0.5000  6 Zr 2.90
C 0.6667 0.3333 0.2437  6 Zr 2.30-2.35
C 0.6667 0.3333 0.7563  6 Zr 2.30-2.35

Entry 11:
## Nd2Zn5Ni5 (GGA-PBE)

Data for crystalline Nd2Zn5Ni5 at its relaxed geometry.

Calculated values
Energy of formation, eV per atom: -0.37

a = 4.0599 Å, b = 5.1966 Å, c = 8.9203 Å
α = 90.00°, β = 90.00°, γ = 90.00°
Last column: nearest neighbours and their distance in Å.
Fractional positions:
Nd 0.0000 0.0000 0.0000  10 Ni 2.96-3.30, 8 Zn 3.25
Nd 0.0000 0.5000 0.5000  6 Ni 2.99-3.04, 12 Zn 3.30-3.31
Zn 0.5000 0.0000 0.5000  4 Ni 2.52, 4 Zn 2.64
Zn 0.5000 0.2530 0.2439  5 Ni 2.52-2.55, 3 Zn 2.57-2.64
Zn 0.5000 0.2530 0.7561  5 Ni 2.52-2.55, 3 Zn 2.57-2.64
Zn 0.5000 0.7470 0.2439  5 Ni 2.52-2.55, 3 Zn 2.57-2.64
Zn 0.5000 0.7470 0.7561  5 Ni 2.52-2.55, 3 Zn 2.57-2.64
Ni 0.0000 0.0000 0.3331  6 Zn 2.52-2.55
Ni 0.0000 0.0000 0.6669  6 Zn 2.52-2.55
Ni 0.0000 0.5000 0.1590  2 Ni 2.48, 4 Zn 2.52
Ni 0.0000 0.5000 0.8410  2 Ni 2.48, 4 Zn 2.52
Ni 0.5000 0.5000 0.0000  4 Ni 2.48, 4 Zn 2.53

Entry 12:
## BaTmCdP2 (GGA-PBE)

Data for crystalline BaTmCdP2 at its relaxed geometry.

Calculated values
Energy, eV/atom: -4.5091

a = 9.1688 Å, b = 9.1688 Å, c = 6.8658 Å
α = 90.00°, β = 90.00°, γ = 153.68°
Last column: nearest neighbours and their distance in Å.
Fractional positions:
Ba 0.1965 0.8035 0.5000  6 P 3.23-3.61
Ba 0.8035 0.1965 0.0000  6 P 3.23-3.61
Tm 0.0278 0.9722 0.8081  5 P 2.73-2.90
Tm 0.9722 0.0278 0.3081  5 P 2.73-2.90
Cd 0.3950 0.6050 0.6402  4 P 2.60-2.82
Cd 0.6050 0.3950 0.1402  4 P 2.60-2.82
P 0.1654 0.8346 0.9798  2 Cd 2.60, 1 Tm 2.73
P 0.4562 0.5438 0.0187  2 Cd 2.78-2.82, 4 Tm 2.84-2.90
P 0.5438 0.4562 0.5187  2 Cd 2.78-2.82, 4 Tm 2.84-2.90
P 0.8346 0.1654 0.4798  2 Cd 2.60, 1 Tm 2.73